PBEsol Ba3SmB9O18, optimized geometry; ΔE_f (raw) = -2.718 eV/atom
1.0
7.224 0.000 0.000
-3.612 6.256 0.000
0.000 0.000 16.940
Ba Sm B O
6 2 18 36
Cartesian
0.000 0.000 4.235
0.000 0.000 12.705
0.000 4.171 2.225
0.000 4.171 6.245
3.612 2.085 10.695
3.612 2.085 14.715
0.000 0.000 0.000
0.000 0.000 8.470
-1.406 3.888 12.705
-0.455 2.817 9.910
-0.455 2.817 15.500
-0.945 5.242 9.910
-0.945 5.242 15.500
0.948 3.095 12.705
2.212 1.803 1.440
2.212 1.803 7.030
3.154 0.726 4.235
0.458 5.530 12.705
1.400 4.453 9.910
1.400 4.453 15.500
2.664 3.161 4.235
4.557 1.014 1.440
4.557 1.014 7.030
4.067 3.439 1.440
4.067 3.439 7.030
5.018 2.368 4.235
-2.698 4.689 1.446
-2.698 4.689 7.024
-0.898 2.589 4.235
-1.358 3.898 9.890
-1.358 3.898 15.519
-0.446 2.860 12.705
0.900 1.575 1.446
0.900 1.575 7.024
1.814 0.008 9.916
1.814 0.008 15.494
-0.912 5.213 12.705
-0.921 5.739 4.235
0.915 3.131 9.890
0.915 3.131 15.519
1.793 2.072 12.705
2.254 1.816 4.235
3.169 0.773 1.420
3.169 0.773 7.049
0.443 5.483 9.890
0.443 5.483 15.519
1.358 4.440 12.705
1.818 4.184 4.235
2.697 3.125 1.420
2.697 3.125 7.049
4.533 0.517 12.705
4.524 1.043 4.235
1.798 6.248 1.446
1.798 6.248 7.024
2.712 4.681 9.916
2.712 4.681 15.494
4.058 3.396 4.235
4.970 2.358 1.420
4.970 2.358 7.049
4.510 3.667 12.705
6.310 1.567 9.916
6.310 1.567 15.494

PBEsol TiMn2CrRu, optimized geometry; ΔH_f (0 K) = 1.32 eV/atom
1.0
4.470 0.000 0.000
0.000 4.470 0.000
0.000 0.000 4.368
Ti Mn Cr Ru
1 2 1 1
Cartesian
0.000 0.000 0.000
0.000 2.235 2.184
2.235 0.000 2.184
2.235 2.235 0.000
2.235 2.235 2.184

PBEsol AlTc, optimized geometry; energy above the most stable polymorph in this dataset = 0.173 eV/atom; ΔH_f (0 K) = -0.22 eV/atom
1.0
3.020 0.000 0.000
0.000 3.020 0.000
0.000 0.000 3.020
Al Tc
1 1
Cartesian
0.000 0.000 0.000
1.510 1.510 1.510

PBEsol YMn2Ge2, optimized geometry; ΔH_f (0 K) = -0.27 eV/atom
1.0
4.270 0.000 0.000
0.000 4.270 0.000
0.000 0.000 8.746
Y Mn Ge
2 4 4
Cartesian
0.000 0.000 0.000
2.135 2.135 4.373
0.000 0.000 3.384
0.000 0.000 5.362
2.135 2.135 0.989
2.135 2.135 7.757
0.000 2.135 2.187
0.000 2.135 6.560
2.135 0.000 2.187
2.135 0.000 6.560

PBEsol Li4V2Cr3Sb3O16, optimized geometry; ΔE_f (raw) = -1.798 eV/atom
1.0
5.991 0.000 0.000
-2.946 5.302 0.000
-0.036 -0.163 9.524
Li V Cr Sb O
4 2 3 3 16
Cartesian
0.000 0.000 0.000
-2.894 5.176 4.873
0.221 3.231 3.908
3.182 1.470 8.467
0.294 3.275 9.425
3.283 1.465 4.780
0.182 1.531 6.901
1.687 4.130 6.871
4.673 0.710 2.145
-1.269 4.142 6.864
1.739 0.729 2.104
3.260 3.335 2.111
-2.813 5.058 7.783
0.184 -0.050 3.107
-1.111 2.507 8.096
0.215 1.610 1.077
-1.237 4.405 0.885
1.632 0.598 5.823
0.234 3.240 5.857
1.496 2.525 8.047
0.247 4.800 8.060
1.872 2.217 3.487
3.211 -0.037 3.296
3.254 1.451 0.985
1.691 4.355 0.997
4.639 0.626 5.887
3.197 3.347 5.766
4.570 2.154 3.472

PBEsol CdAg2I4, optimized geometry; ΔE_f (raw) = -0.342 eV/atom
1.0
6.344 0.000 0.000
0.000 6.344 0.000
0.000 0.000 12.398
Cd Ag I
2 4 8
Cartesian
0.000 0.000 0.000
3.172 3.172 6.199
0.000 3.172 3.099
0.000 3.172 9.298
3.172 0.000 3.099
3.172 0.000 9.298
1.483 1.483 4.741
1.483 4.861 7.657
1.689 1.689 10.940
1.689 4.655 1.458
4.655 1.689 1.458
4.655 4.655 10.940
4.861 1.483 7.657
4.861 4.861 4.741

PBEsol Li2YIn2, optimized geometry; energy above the most stable polymorph in this dataset = 0.022 eV/atom; ΔH_f (0 K) = -0.33 eV/atom
1.0
4.048 0.000 0.000
0.000 4.048 0.000
0.000 0.000 13.601
Li Y In
4 2 4
Cartesian
0.000 2.024 3.400
0.000 2.024 10.200
2.024 0.000 3.400
2.024 0.000 10.200
0.000 0.000 0.000
2.024 2.024 6.800
0.000 0.000 5.334
0.000 0.000 8.266
2.024 2.024 1.466
2.024 2.024 12.135

PBEsol TcNi3Sb, optimized geometry; ΔE_f (raw) = 1.447 eV/atom
1.0
4.495 0.000 0.000
0.000 4.495 0.000
0.000 0.000 4.495
Tc Ni Sb
1 3 1
Cartesian
0.000 0.000 0.000
0.000 2.247 2.247
2.247 0.000 2.247
2.247 2.247 0.000
2.247 2.247 2.247

PBEsol Ca2SnPRu, optimized geometry; ΔH_f (0 K) = 0.47 eV/atom
1.0
5.178 0.000 0.000
0.000 5.178 0.000
0.000 0.000 4.986
Ca Sn P Ru
2 1 1 1
Cartesian
0.000 2.589 0.000
2.589 0.000 0.000
0.000 0.000 2.493
0.000 0.000 0.000
2.589 2.589 2.493

PBEsol Li3Mn2Ni5O12, optimized geometry; ΔE_f (raw) = -1.264 eV/atom
1.0
2.405 -4.343 0.000
2.405 4.343 0.000
-1.753 0.000 9.313
Li Mn Ni O
3 2 5 12
Cartesian
0.000 0.000 0.000
0.762 -1.363 2.251
2.295 -1.363 7.062
2.405 1.393 0.000
1.529 -2.964 4.656
0.736 1.382 2.283
1.529 2.871 4.656
1.529 -0.056 4.656
2.321 1.382 7.030
2.405 -1.412 0.000
1.543 2.728 1.052
-0.009 0.022 3.604
0.728 1.419 5.709
1.514 2.728 8.260
1.638 0.043 1.040
2.329 1.419 3.603
0.742 -1.600 5.699
1.419 0.043 8.273
1.601 -2.744 1.069
2.315 -1.600 3.614
3.066 0.022 5.709
1.456 -2.744 8.244

PBEsol TaMnCo2, optimized geometry; energy above the most stable polymorph in this dataset = 0.162 eV/atom; ΔH_f (0 K) = 0.02 eV/atom
1.0
3.016 0.000 0.000
0.000 3.016 0.000
0.000 0.000 5.347
Ta Mn Co
1 1 2
Cartesian
0.000 0.000 0.000
1.508 1.508 3.753
0.000 0.000 2.690
1.508 1.508 1.349

PBEsol LiNi6Ir, optimized geometry; ΔH_f (0 K) = 0.01 eV/atom
1.0
3.510 -4.988 0.000
3.510 4.988 0.000
0.000 0.000 9.963
Li Ni Ir
4 24 4
Cartesian
0.000 0.000 2.465
0.000 0.000 7.498
3.510 2.446 0.000
3.510 -2.446 0.000
0.000 0.000 0.000
0.000 0.000 4.981
1.728 1.251 1.223
1.728 1.251 8.740
1.755 1.244 3.706
1.755 1.244 6.257
3.510 2.496 2.471
3.510 2.496 7.492
1.728 -1.251 1.223
1.728 -1.251 8.740
1.755 -1.244 3.706
1.755 -1.244 6.257
3.510 0.000 0.000
3.510 0.000 4.981
5.265 1.244 3.706
5.265 1.244 6.257
5.292 1.251 1.223
5.292 1.251 8.740
3.510 -2.496 2.471
3.510 -2.496 7.492
5.265 -1.244 3.706
5.265 -1.244 6.257
5.292 -1.251 1.223
5.292 -1.251 8.740
3.510 2.538 4.981
3.510 0.000 2.427
3.510 0.000 7.536
3.510 -2.538 4.981